The following is a DFT calculation (PBE) of a relaxed Li2AgAsF6 crystal.

Cell: 5.808 5.808 5.808 Å, 57.09 57.09 57.09°
Element x y z (fractional)
Li: 0.000 0.000 0.000
Li: 0.455 0.455 0.455
Ag: 0.201 0.201 0.201
As: 0.679 0.679 0.679
F: 0.111 0.366 0.742
F: 0.302 0.828 0.653
F: 0.366 0.742 0.111
F: 0.653 0.302 0.828
F: 0.742 0.111 0.366
F: 0.828 0.653 0.302

## Properties
ΔE to the lowest computed polymorph   0.000 eV/atom
E_tot   -44.5 eV per cell
SG   R3
Total magnetic moment   0.00 μB/f.u.
Raw formation energy   -2191 meV per atom